1.
Below is a geometry-optimized MnCr2Cu structure, with properties calculated at the GGA-PBE level.

```
MnCr2Cu
1.0
4.194 -1.220 0.000
4.194 1.220 0.000
-0.497 0.000 4.573
Mn Cr Cu
1 2 1
Direct
0.000 0.000 0.000
0.507 0.507 0.506
0.750 0.750 0.246
0.254 0.254 0.750
```

polymorph energy (0 for the lowest one)	120	meV/atom
final energy	-7.84	eV per atom
ΔH_f (0 K)	0.2889	eV per atom
crystal system	monoclinic


2.
Below is a geometry-optimized MnCr2Cu structure, with properties calculated at the GGA-PBE level.

```
MnCr2Cu
1.0
1.254 0.724 8.499
-1.254 0.724 8.499
0.000 -1.448 8.499
Mn Cr Cu
1 2 1
Direct
0.000 0.000 0.000
0.253 0.253 0.253
0.747 0.747 0.747
0.500 0.500 0.500
```

polymorph energy (0 for the lowest one)	114	meV/atom
final energy	-7.85	eV per atom
ΔH_f (0 K)	0.2829	eV per atom
crystal system	trigonal


3.
Below is a geometry-optimized MnCrCuN2 structure, with properties calculated at the GGA-PBE level.

```
MnCrCuN2
1.0
3.585 0.000 0.000
0.000 3.585 0.000
0.000 0.000 4.568
Mn Cr Cu N
1 1 1 2
Direct
0.000 0.000 0.000
0.500 0.500 0.500
0.000 0.000 0.500
0.000 0.500 0.000
0.500 0.000 0.000
```

energy relative to the elements, uncorrected	1.2200	eV/atom
polymorph energy (0 for the lowest one)	317	meV/atom
final energy	-6.69	eV per atom
crystal system	tetragonal


4.
Below is a geometry-optimized MnCrCuN2 structure, with properties calculated at the GGA-PBE level.

```
MnCrCuN2
1.0
3.651 0.000 0.000
0.000 3.651 0.000
0.000 0.000 4.998
Mn Cr Cu N
1 1 1 2
Direct
0.000 0.000 0.000
0.000 0.000 0.500
0.500 0.500 0.000
0.000 0.500 0.500
0.500 0.000 0.500
```

energy relative to the elements, uncorrected	0.9028	eV/atom
polymorph energy (0 for the lowest one)	0	meV/atom
final energy	-7.01	eV per atom
crystal system	tetragonal


5.
Below is a geometry-optimized MnCrCuN2 structure, with properties calculated at the GGA-PBE level.

```
MnCrCuN2
1.0
3.589 0.000 0.000
0.000 3.589 0.000
0.000 0.000 5.004
Mn Cr Cu N
1 1 1 2
Direct
0.000 0.000 0.000
0.000 0.000 0.500
0.500 0.500 0.500
0.000 0.500 0.000
0.500 0.000 0.000
```

energy relative to the elements, uncorrected	1.0455	eV/atom
polymorph energy (0 for the lowest one)	143	meV/atom
final energy	-6.86	eV per atom
crystal system	tetragonal


6.
Below is a geometry-optimized MnCrCuNi structure, with properties calculated at the GGA-PBE level.

```
MnCrCuNi
1.0
0.000 2.887 2.887
2.887 0.000 2.887
2.887 2.887 0.000
Mn Cr Cu Ni
1 1 1 1
Direct
0.000 0.000 0.000
0.250 0.250 0.250
0.750 0.750 0.750
0.500 0.500 0.500
```

final energy	-7.06	eV per atom
ΔH_f (0 K)	0.1066	eV per atom
crystal system	cubic


In order of appearance, total magnetic moment = 0.348 0.000 0.093 0.780 0.710 0.003 μB/atom.